4
Lattice="-2.150 2.869 4.790 2.150 -2.869 4.790 2.150 2.869 -4.790" Properties=species:S:1:pos:R:3 comment="K2NiAs | Alexandria | SCAN | PBEsol geometry" total_magnetization_mub_per_fu=0.01 e_form_ev_per_atom=-0.25 pbc="T T T"
K 0.000 0.000 0.000
K 0.000 2.869 1.722
Ni 2.150 0.000 3.249
As 0.000 0.000 3.464